{
  "formula": "LiMnOF",
  "functional": "GGA+U",
  "state": "relaxed",
  "total_magnetization_mub_per_atom": 1.250,
  "e_tot_ev_per_atom": -6.233,
  "density_g_cm3": 3.2,
  "lattice": [[3.562, 0.000, 0.000], [-1.781, 3.082, 0.000], [0.000, 0.000, 4.538]],
  "species": ["Mn", "O", "Li", "F"],
  "frac_coords": [[0.837, 0.673, 0.000], [0.170, 0.340, 0.000], [0.169, 0.339, 0.500], [0.836, 0.672, 0.500]]
}